A geometry-optimized GdCoNO structure, computed with PBE+U. Values from VASP.

Values from the calculation:
E above lowest polymorph, meV per atom: 21
Theoretical density, Mg/m³: 7.880

```
&SYSTEM
  ibrav = 0, nat = 16, ntyp = 4
/
ATOMIC_SPECIES
N 14.01 N.upf
O 16.00 O.upf
Gd 157.25 Gd.upf
Co 58.93 Co.upf
ATOMIC_POSITIONS angstrom
N 1.3941 0.5294 1.0317
O 1.3340 3.7710 0.8617
N 3.9203 6.6157 3.7643
Gd 0.1733 2.4334 2.2281
N 1.2631 0.5294 3.7643
Co 5.2538 0.2766 5.1823
Co 2.5966 6.8686 5.1823
Gd 2.4839 2.4334 4.9607
Gd 2.8305 4.7117 2.2281
O 3.9912 3.3741 0.8617
O 1.3232 3.7710 3.5943
N 4.0512 6.6157 1.0317
Gd 5.1410 4.7117 4.9607
Co 2.7177 0.2766 2.4498
Co 0.0606 6.8686 2.4498
O 3.9803 3.3741 3.5943
CELL_PARAMETERS angstrom
5.3143 0.0000 0.0000
0.0000 7.1451 0.0000
0.0000 0.0000 5.4652
```